# LiMg2ZnAg2 PBE relaxed
data_LiMg2ZnAg2
_cell_length_a 4.263
_cell_length_b 8.601
_cell_length_c 5.800
_cell_angle_alpha 90.00
_cell_angle_beta 90.00
_cell_angle_gamma 90.00
_space_group_name_H-M_alt 'P m c 21'
_space_group_IT_number 26
loop_
_space_group_symop_operation_xyz
'x,y,z'
'-x,-y,z+1/2'
'-x,y,z'
'x,-y,z+1/2'
loop_
_atom_site_label
_atom_site_fract_x
_atom_site_fract_y
_atom_site_fract_z
_atom_site_occupancy
Li1 0.000 0.021 0.000 1
Mg1 0.000 0.310 0.465 1
Mg2 0.500 0.493 0.205 1
Zn1 0.500 0.165 0.746 1
Ag1 0.000 0.336 0.956 1
Ag2 0.500 0.153 0.246 1
# Density in Mg/m³: 5.3
# Final energy in eV/atom: -2.168


# Li2MgZnAg2 PBE relaxed
data_Li2MgZnAg2
_cell_length_a 4.182
_cell_length_b 4.008
_cell_length_c 11.911
_cell_angle_alpha 90.00
_cell_angle_beta 90.00
_cell_angle_gamma 90.00
_space_group_name_H-M_alt 'P m m a'
_space_group_IT_number 51
loop_
_space_group_symop_operation_xyz
'x,y,z'
'-x,-y,-z'
'-x+1/2,-y,z'
'x+1/2,y,-z'
'x+1/2,-y,-z'
'-x+1/2,y,z'
'-x,y,-z'
'x,-y,z'
loop_
_atom_site_label
_atom_site_fract_x
_atom_site_fract_y
_atom_site_fract_z
_atom_site_occupancy
Li1 0.250 0.000 0.078 1
Li2 0.250 0.500 0.238 1
Mg1 0.250 0.500 0.591 1
Zn1 0.250 0.000 0.761 1
Ag1 0.250 0.000 0.404 1
Ag2 0.250 0.500 0.915 1
# Density in Mg/m³: 5.3
# Final energy in eV/atom: -2.259


# LiMgZrAg PBE relaxed
data_LiMgZrAg
_cell_length_a 6.684
_cell_length_b 6.684
_cell_length_c 6.684
_cell_angle_alpha 90.00
_cell_angle_beta 90.00
_cell_angle_gamma 90.00
_space_group_name_H-M_alt 'F -4 3 m'
_space_group_IT_number 216
_space_group_name_Hall 'F -4 2 3'
loop_
_atom_site_label
_atom_site_fract_x
_atom_site_fract_y
_atom_site_fract_z
_atom_site_occupancy
Li1 0.000 0.000 0.000 1
Mg1 0.250 0.250 0.250 1
Zr1 0.250 0.250 0.750 1
Ag1 0.000 0.000 0.500 1
# Density in Mg/m³: 5.1
# Final energy in eV/atom: -3.765


# LiMn3Ag PBE relaxed
data_LiMn3Ag
_cell_length_a 4.357
_cell_length_b 4.357
_cell_length_c 4.357
_cell_angle_alpha 90.00
_cell_angle_beta 90.00
_cell_angle_gamma 90.00
_space_group_name_H-M_alt 'P m -3 m'
_space_group_IT_number 221
_space_group_name_Hall '-P 4 2 3'
loop_
_atom_site_label
_atom_site_fract_x
_atom_site_fract_y
_atom_site_fract_z
_atom_site_occupancy
Li1 0.000 0.000 0.000 1
Mn1 0.000 0.000 0.500 1
Ag1 0.500 0.500 0.500 1
# Density in Mg/m³: 5.6
# Final energy in eV/atom: -5.402


# LiMnAg PBE relaxed
data_LiMnAg
_cell_length_a 2.968
_cell_length_b 3.774
_cell_length_c 8.580
_cell_angle_alpha 90.00
_cell_angle_beta 90.00
_cell_angle_gamma 90.00
_space_group_name_H-M_alt 'I m m 2'
_space_group_IT_number 44
loop_
_space_group_symop_operation_xyz
'x,y,z'
'-x,-y,z'
'-x,y,z'
'x,-y,z'
'x+1/2,y+1/2,z+1/2'
'-x+1/2,-y+1/2,z+1/2'
'-x+1/2,y+1/2,z+1/2'
'x+1/2,-y+1/2,z+1/2'
loop_
_atom_site_label
_atom_site_fract_x
_atom_site_fract_y
_atom_site_fract_z
_atom_site_occupancy
Li1 0.000 0.000 0.000 1
Mn1 0.000 0.000 0.673 1
Ag1 0.000 0.000 0.338 1
# Density in Mg/m³: 5.9
# Final energy in eV/atom: -4.463


# Li2MnAg PBE relaxed
data_Li2MnAg
_cell_length_a 3.144
_cell_length_b 4.623
_cell_length_c 9.279
_cell_angle_alpha 90.00
_cell_angle_beta 90.00
_cell_angle_gamma 90.00
_space_group_name_H-M_alt 'C m m 2'
_space_group_IT_number 35
loop_
_space_group_symop_operation_xyz
'x,y,z'
'-x,-y,z'
'-x,y,z'
'x,-y,z'
'x+1/2,y+1/2,z'
'-x+1/2,-y+1/2,z'
'-x+1/2,y+1/2,z'
'x+1/2,-y+1/2,z'
loop_
_atom_site_label
_atom_site_fract_x
_atom_site_fract_y
_atom_site_fract_z
_atom_site_occupancy
Li1 0.000 0.000 0.000 1
Li2 0.000 0.500 0.273 1
Mn1 0.000 0.500 0.758 1
Ag1 0.000 0.000 0.511 1
# Density in Mg/m³: 4.4
# Final energy in eV/atom: -3.772


# Li2MnAg PBE relaxed
data_Li2MnAg
_cell_length_a 3.924
_cell_length_b 3.924
_cell_length_c 4.196
_cell_angle_alpha 90.00
_cell_angle_beta 90.00
_cell_angle_gamma 90.00
_space_group_name_H-M_alt 'P 4/m m m'
_space_group_IT_number 123
_space_group_name_Hall '-P 4 2'
loop_
_atom_site_label
_atom_site_fract_x
_atom_site_fract_y
_atom_site_fract_z
_atom_site_occupancy
Li1 0.000 0.500 0.000 1
Mn1 0.000 0.000 0.500 1
Ag1 0.500 0.500 0.500 1
# Density in Mg/m³: 4.5
# Final energy in eV/atom: -3.812


# LiMnAg2 PBE relaxed
data_LiMnAg2
_cell_length_a 3.950
_cell_length_b 3.950
_cell_length_c 8.373
_cell_angle_alpha 90.00
_cell_angle_beta 90.00
_cell_angle_gamma 90.00
_space_group_name_H-M_alt 'I -4 m 2'
_space_group_IT_number 119
_space_group_name_Hall 'I -4 -2'
loop_
_atom_site_label
_atom_site_fract_x
_atom_site_fract_y
_atom_site_fract_z
_atom_site_occupancy
Li1 0.000 0.000 0.000 1
Mn1 0.000 0.500 0.750 1
Ag1 0.000 0.000 0.500 1
Ag2 0.000 0.500 0.250 1
# Density in Mg/m³: 7.1
# Final energy in eV/atom: -4.118


> What is the final energy in the second record?

-2.259 eV/atom


> Among the records above, which one has the highest density?

LiMnAg2